16
Lattice="-2.065 0.293 5.835 0.504 -6.046 0.482 11.645 1.328 4.055" Properties=species:S:1:pos:R:3 comment="PBE Sn2SbSe, optimized geometry" m_tot_mub_per_atom=0.00 e_form_raw_ev_per_atom=-0.18 pbc="T T T"
Se 5.681 0.966 7.112
Sb 3.097 -2.267 5.994
Sn 3.288 -5.285 6.493
Sn 9.972 -1.756 5.136
Se 4.402 -5.391 3.261
Sn 8.646 1.289 8.028
Sn 5.914 -1.872 7.220
Sb -0.026 0.334 4.758
Sn 0.112 -2.669 5.237
Sn 1.438 -5.714 2.344
Sn 4.169 -2.553 3.152
Sn 6.795 0.860 3.880
Se 1.278 -2.887 2.029
Se 8.806 -1.538 8.344
Sb 10.109 -4.759 5.615
Sb 6.986 -2.158 4.379